Density functional theory data (PBE) for a relaxed AsP2O2 crystal.

a b c (Å): 3.5474 3.5474 4.7180
angles (deg): 90.00 90.00 90.00
With the nearest neighbours (Å) after each atom.
Positions (direct):
P  0.0000  0.0000  0.0000  4 O 1.77
P  0.0000  0.0000  0.5000  2 P 2.36, 4 As 2.51
As  0.5000  0.5000  0.5000  4 P 2.51
O  0.0000  0.5000  0.0000  2 P 1.77
O  0.5000  0.0000  0.0000  2 P 1.77

Results
Uncorrected energy (hartree per atom): -0.1978
Formation energy (no corrections) (eV/atom): -0.305
E above lowest polymorph (meV per atom): 0.0
Spin magnetization (μB per cell): 0.25
Space group: P4/mmm, No. 123



Density functional theory data (PBE) for a relaxed GdYSn crystal.

a b c (Å): 3.8038 5.1607 5.1607
angles (deg): 120.00 90.00 90.00
With the nearest neighbours (Å) after each atom.
Positions (direct):
Y  0.9358  0.0000  0.0000  3 Sn 3.13, 3 Gd 3.43
Gd  0.3839  0.3333  0.6667  3 Sn 3.19, 3 Y 3.43
Sn  0.6803  0.6667  0.3333  3 Y 3.13, 3 Gd 3.19

Results
Uncorrected energy (hartree per atom): -0.3147
Energy of formation from the pure elements (meV per atom): -379.5
E above lowest polymorph (meV per atom): 108.9
Spin magnetization (μB per cell): 7.60
Space group: P3m1, No. 156



Density functional theory data (PBE) for a relaxed Pr2SmRuN4 crystal.

a b c (Å): 3.5001 6.2696 12.2269
angles (deg): 90.00 90.00 106.21
With the nearest neighbours (Å) after each atom.
Positions (direct):
Pr  0.3678  0.7355  0.5428  6 N 2.42-2.71
Pr  0.6322  0.2645  0.0428  6 N 2.42-2.71
Pr  0.6322  0.2645  0.4572  6 N 2.42-2.71
Pr  0.3678  0.7355  0.9572  6 N 2.42-2.71
Sm  0.1243  0.2486  0.7500  4 N 2.53
Sm  0.8757  0.7514  0.2500  4 N 2.53
Ru  0.8532  0.7064  0.7500  4 N 1.99-2.05
Ru  0.1468  0.2936  0.2500  4 N 1.99-2.05
N  0.2741  0.5481  0.1383  1 Ru 2.05
N  0.7259  0.4519  0.6383  1 Ru 2.05
N  0.7259  0.4519  0.8617  1 Ru 2.05
N  0.2741  0.5481  0.3617  1 Ru 2.05
N  0.0000  0.0000  0.5000  4 Pr 2.42
N  0.0000  0.0000  0.0000  4 Pr 2.42
N  0.4324  0.8648  0.7500  2 Ru 1.99
N  0.5676  0.1352  0.2500  2 Ru 1.99

Results
Uncorrected energy (hartree per atom): -0.2903
Formation energy (no corrections) (eV/atom): -0.792
Spin magnetization (μB per cell): 0.00
Space group: Cmcm, No. 63



Density functional theory data (PBE) for a relaxed HfHg crystal.

a b c (Å): 4.8396 4.8396 5.6846
angles (deg): 90.00 90.00 120.00
With the nearest neighbours (Å) after each atom.
Positions (direct):
Hf  0.3333  0.6667  0.2500  5 Hg 2.79-2.84
Hf  0.6667  0.3333  0.7500  5 Hg 2.79-2.84
Hg  0.3333  0.6667  0.7500  5 Hf 2.79-2.84
Hg  0.6667  0.3333  0.2500  5 Hf 2.79-2.84

Results
Uncorrected energy (hartree per atom): -0.1594
Energy of formation from the pure elements (meV per atom): 789.8
Spin magnetization (μB per cell): 0.00
Space group: P6_3/mmc, No. 194



Density functional theory data (PBE) for a relaxed TmLuGaPb crystal.

a b c (Å): 5.2047 5.2047 5.2047
angles (deg): 60.00 60.00 60.00
With the nearest neighbours (Å) after each atom.
Positions (direct):
Pb  0.7500  0.7500  0.7500  4 Lu 3.19, 4 Tm 3.19
Lu  0.0000  0.0000  0.0000  4 Pb 3.19, 4 Ga 3.19
Tm  0.5000  0.5000  0.5000  4 Ga 3.19, 4 Pb 3.19
Ga  0.2500  0.2500  0.2500  4 Lu 3.19, 4 Tm 3.19

Results
Uncorrected energy (hartree per atom): -0.1580
Energy of formation from the pure elements (meV per atom): -366.6
Spin magnetization (μB per cell): 0.00
Space group: F-43m, No. 216



Density functional theory data (PBE) for a relaxed Ti3NbBi crystal.

a b c (Å): 8.8227 7.2942 7.2942
angles (deg): 76.41 65.09 65.09
With the nearest neighbours (Å) after each atom.
Positions (direct):
Ti  0.5877  0.7161  0.0559  1 Nb 2.51
Ti  0.9123  0.9441  0.2839  1 Nb 2.51
Ti  0.4123  0.2839  0.9441  1 Nb 2.51
Ti  0.0877  0.0559  0.7161  1 Nb 2.51
Ti  0.9276  0.3497  0.0343  6 Ti 2.81-3.11, 1 Nb 2.82, 2 Bi 2.97-3.01
Ti  0.5724  0.9657  0.6503  6 Ti 2.81-3.11, 1 Nb 2.82, 2 Bi 2.97-3.01
Ti  0.0724  0.6503  0.9657  6 Ti 2.81-3.11, 1 Nb 2.82, 2 Bi 2.97-3.01
Ti  0.4276  0.0343  0.3497  6 Ti 2.81-3.11, 1 Nb 2.82, 2 Bi 2.97-3.01
Ti  0.4100  0.6596  0.6985  2 Nb 2.76-2.84, 4 Ti 2.81-3.07, 1 Bi 2.90
Ti  0.0900  0.3015  0.3404  2 Nb 2.76-2.84, 4 Ti 2.81-3.07, 1 Bi 2.90
Ti  0.5900  0.3404  0.3015  2 Nb 2.76-2.84, 4 Ti 2.81-3.07, 1 Bi 2.90
Ti  0.9100  0.6985  0.6596  2 Nb 2.76-2.84, 4 Ti 2.81-3.07, 1 Bi 2.90
Nb  0.7014  0.4496  0.8168  2 Ti 2.51-2.76, 1 Nb 2.69
Nb  0.7986  0.1832  0.5504  2 Ti 2.51-2.76, 1 Nb 2.69
Nb  0.2986  0.5504  0.1832  2 Ti 2.51-2.76, 1 Nb 2.69
Nb  0.2014  0.8168  0.4496  2 Ti 2.51-2.76, 1 Nb 2.69
Bi  0.2500  0.9795  0.0205  8 Ti 2.87-3.16, 2 Nb 2.99
Bi  0.7500  0.0205  0.9795  8 Ti 2.87-3.16, 2 Nb 2.99
Bi  0.2500  0.3717  0.6283  10 Ti 2.90-3.20, 2 Nb 3.12
Bi  0.7500  0.6283  0.3717  10 Ti 2.90-3.20, 2 Nb 3.12

Results
Uncorrected energy (hartree per atom): -0.2747
Energy of formation from the pure elements (meV per atom): 51.3
E above lowest polymorph (meV per atom): 0.0
Spin magnetization (μB per cell): 0.00
Space group: C2/c, No. 15



Values of Fermi-level density of states, in order: 1.9, 3.9, 3.4, 6.7, 3.6, 24.2, all in states/eV per cell.
Values of volume, in order: 59.4, 87.7, 257.6, 115.3, 99.7, 385.2, all in Å³ per cell.